A.
! TaSb2TeRh PBE-GGA optimized geometry; values from VASP
! Crystal system ... tetragonal
! Space-group type ... P4/mmm, No. 123
! Size of the total moment ... 0.0 μB/f.u.
&SYSTEM
  ibrav = 0, nat = 5, ntyp = 4
/
ATOMIC_SPECIES
Ta 180.95 Ta.upf
Sb 121.76 Sb.upf
Te 127.60 Te.upf
Rh 102.91 Rh.upf
CELL_PARAMETERS angstrom
5.018 0.000 0.000
0.000 5.018 0.000
0.000 0.000 5.194
ATOMIC_POSITIONS crystal
Ta 0.000 0.000 0.000
Sb 0.000 0.500 0.500
Sb 0.500 0.000 0.500
Te 0.500 0.500 0.000
Rh 0.500 0.500 0.500

---

B.
! TaSb2TeRh PBE-GGA optimized geometry; values from VASP
! Crystal system ... tetragonal
! Space-group type ... P4/mmm, No. 123
! Size of the total moment ... 0.0 μB/f.u.
&SYSTEM
  ibrav = 0, nat = 5, ntyp = 4
/
ATOMIC_SPECIES
Ta 180.95 Ta.upf
Sb 121.76 Sb.upf
Te 127.60 Te.upf
Rh 102.91 Rh.upf
CELL_PARAMETERS angstrom
5.301 0.000 0.000
0.000 5.301 0.000
0.000 0.000 5.270
ATOMIC_POSITIONS crystal
Ta 0.000 0.000 0.000
Sb 0.000 0.500 0.000
Sb 0.500 0.000 0.000
Te 0.000 0.000 0.500
Rh 0.500 0.500 0.500

---

So which one wins? Going from most stable to least: B, A.

---

A.
! TbSbRh3 PBE-GGA optimized geometry; values from VASP
! Crystal system ... orthorhombic
! Space-group type ... Imma, No. 74
! Size of the total moment ... 0.0 μB/f.u.
&SYSTEM
  ibrav = 0, nat = 10, ntyp = 3
/
ATOMIC_SPECIES
Tb 158.93 Tb.upf
Sb 121.76 Sb.upf
Rh 102.91 Rh.upf
CELL_PARAMETERS angstrom
-2.959 5.375 3.340
2.959 -5.375 3.340
2.959 5.375 -3.340
ATOMIC_POSITIONS crystal
Tb 0.304 0.054 0.250
Tb 0.696 0.946 0.750
Sb 0.000 0.500 0.500
Sb 0.500 0.500 0.000
Rh 0.129 0.000 0.629
Rh 0.129 0.500 0.129
Rh 0.281 0.531 0.750
Rh 0.719 0.469 0.250
Rh 0.871 0.000 0.371
Rh 0.871 0.500 0.871

---

B.
! TbSbRh3 PBE-GGA optimized geometry; values from VASP
! Crystal system ... orthorhombic
! Space-group type ... Cmcm, No. 63
! Size of the total moment ... 0.0 μB/f.u.
&SYSTEM
  ibrav = 0, nat = 10, ntyp = 3
/
ATOMIC_SPECIES
Tb 158.93 Tb.upf
Sb 121.76 Sb.upf
Rh 102.91 Rh.upf
CELL_PARAMETERS angstrom
2.922 -6.298 0.000
2.922 6.298 0.000
0.000 0.000 5.090
ATOMIC_POSITIONS crystal
Tb 0.095 0.905 0.750
Tb 0.905 0.095 0.250
Sb 0.317 0.683 0.250
Sb 0.683 0.317 0.750
Rh 0.111 0.429 0.750
Rh 0.429 0.111 0.250
Rh 0.500 0.500 0.000
Rh 0.500 0.500 0.500
Rh 0.571 0.889 0.750
Rh 0.889 0.571 0.250

---

So which one wins? Going from most stable to least: B, A.

---

A.
! TbSb2Rh4 PBE-GGA optimized geometry; values from VASP
! Crystal system ... tetragonal
! Space-group type ... P4_2/mnm, No. 136
! Size of the total moment ... 0.0 μB/f.u.
&SYSTEM
  ibrav = 0, nat = 14, ntyp = 3
/
ATOMIC_SPECIES
Tb 158.93 Tb.upf
Sb 121.76 Sb.upf
Rh 102.91 Rh.upf
CELL_PARAMETERS angstrom
7.967 0.000 0.000
0.000 7.967 0.000
0.000 0.000 4.112
ATOMIC_POSITIONS crystal
Tb 0.000 0.000 0.000
Tb 0.500 0.500 0.500
Sb 0.224 0.224 0.500
Sb 0.276 0.724 0.000
Sb 0.724 0.276 0.000
Sb 0.776 0.776 0.500
Rh 0.081 0.656 0.500
Rh 0.156 0.419 0.000
Rh 0.344 0.919 0.500
Rh 0.419 0.156 0.000
Rh 0.581 0.844 0.000
Rh 0.656 0.081 0.500
Rh 0.844 0.581 0.000
Rh 0.919 0.344 0.500

---

B.
! TbSb2Rh4 PBE-GGA optimized geometry; values from VASP
! Crystal system ... tetragonal
! Space-group type ... I4/mmm, No. 139
! Size of the total moment ... 0.0 μB/f.u.
&SYSTEM
  ibrav = 0, nat = 7, ntyp = 3
/
ATOMIC_SPECIES
Tb 158.93 Tb.upf
Sb 121.76 Sb.upf
Rh 102.91 Rh.upf
CELL_PARAMETERS angstrom
-2.003 2.003 8.827
2.003 -2.003 8.827
2.003 2.003 -8.827
ATOMIC_POSITIONS crystal
Tb 0.000 0.000 0.000
Sb 0.360 0.360 0.000
Sb 0.640 0.640 0.000
Rh 0.143 0.143 0.000
Rh 0.250 0.750 0.500
Rh 0.750 0.250 0.500
Rh 0.857 0.857 0.000

---

So which one wins? Going from most stable to least: A, B.

---

A.
! Tc2Sb2Rh PBE-GGA optimized geometry; values from VASP
! Crystal system ... tetragonal
! Space-group type ... P4/mbm, No. 127
! Size of the total moment ... 0.0 μB/f.u.
&SYSTEM
  ibrav = 0, nat = 10, ntyp = 3
/
ATOMIC_SPECIES
Tc 98.00 Tc.upf
Sb 121.76 Sb.upf
Rh 102.91 Rh.upf
CELL_PARAMETERS angstrom
7.508 0.000 0.000
0.000 7.508 0.000
0.000 0.000 3.136
ATOMIC_POSITIONS crystal
Tc 0.143 0.357 0.000
Tc 0.357 0.857 0.000
Tc 0.643 0.143 0.000
Tc 0.857 0.643 0.000
Sb 0.157 0.657 0.500
Sb 0.343 0.157 0.500
Sb 0.657 0.843 0.500
Sb 0.843 0.343 0.500
Rh 0.000 0.000 0.500
Rh 0.500 0.500 0.500

---

B.
! Tc2Sb2Rh PBE-GGA optimized geometry; values from VASP
! Crystal system ... tetragonal
! Space-group type ... I4/mmm, No. 139
! Size of the total moment ... 0.0 μB/f.u.
&SYSTEM
  ibrav = 0, nat = 5, ntyp = 3
/
ATOMIC_SPECIES
Tc 98.00 Tc.upf
Sb 121.76 Sb.upf
Rh 102.91 Rh.upf
CELL_PARAMETERS angstrom
-2.103 2.103 5.643
2.103 -2.103 5.643
2.103 2.103 -5.643
ATOMIC_POSITIONS crystal
Tc 0.102 0.102 0.000
Tc 0.898 0.898 0.000
Sb 0.250 0.750 0.500
Sb 0.750 0.250 0.500
Rh 0.500 0.500 0.000

---

C.
! Tc2Sb2Rh PBE-GGA optimized geometry; values from VASP
! Crystal system ... tetragonal
! Space-group type ... I4/mmm, No. 139
! Size of the total moment ... 0.0 μB/f.u.
&SYSTEM
  ibrav = 0, nat = 5, ntyp = 3
/
ATOMIC_SPECIES
Tc 98.00 Tc.upf
Sb 121.76 Sb.upf
Rh 102.91 Rh.upf
CELL_PARAMETERS angstrom
-1.734 1.734 8.086
1.734 -1.734 8.086
1.734 1.734 -8.086
ATOMIC_POSITIONS crystal
Tc 0.250 0.750 0.500
Tc 0.750 0.250 0.500
Sb 0.102 0.102 0.000
Sb 0.898 0.898 0.000
Rh 0.500 0.500 0.000

---

D.
! Tc2Sb2Rh PBE-GGA optimized geometry; values from VASP
! Crystal system ... tetragonal
! Space-group type ... P4/mbm, No. 127
! Size of the total moment ... 0.0 μB/f.u.
&SYSTEM
  ibrav = 0, nat = 10, ntyp = 3
/
ATOMIC_SPECIES
Tc 98.00 Tc.upf
Sb 121.76 Sb.upf
Rh 102.91 Rh.upf
CELL_PARAMETERS angstrom
7.380 0.000 0.000
0.000 7.380 0.000
0.000 0.000 3.263
ATOMIC_POSITIONS crystal
Tc 0.133 0.367 0.000
Tc 0.367 0.867 0.000
Tc 0.633 0.133 0.000
Tc 0.867 0.633 0.000
Sb 0.167 0.667 0.500
Sb 0.333 0.167 0.500
Sb 0.667 0.833 0.500
Sb 0.833 0.333 0.500
Rh 0.000 0.000 0.000
Rh 0.500 0.500 0.000

---

So which one wins? Going from most stable to least: D, A, C, B.

---

A.
! TcSb2TeRh PBE-GGA optimized geometry; values from VASP
! Crystal system ... tetragonal
! Space-group type ... P4/mmm, No. 123
! Size of the total moment ... 3.0 μB/f.u.
&SYSTEM
  ibrav = 0, nat = 5, ntyp = 4
/
ATOMIC_SPECIES
Tc 98.00 Tc.upf
Sb 121.76 Sb.upf
Te 127.60 Te.upf
Rh 102.91 Rh.upf
CELL_PARAMETERS angstrom
5.041 0.000 0.000
0.000 5.041 0.000
0.000 0.000 5.339
ATOMIC_POSITIONS crystal
Tc 0.000 0.000 0.000
Sb 0.000 0.500 0.500
Sb 0.500 0.000 0.500
Te 0.500 0.500 0.000
Rh 0.500 0.500 0.500

---

B.
! TcSb2TeRh PBE-GGA optimized geometry; values from VASP
! Crystal system ... tetragonal
! Space-group type ... P4/mmm, No. 123
! Size of the total moment ... 0.0 μB/f.u.
&SYSTEM
  ibrav = 0, nat = 5, ntyp = 4
/
ATOMIC_SPECIES
Tc 98.00 Tc.upf
Sb 121.76 Sb.upf
Te 127.60 Te.upf
Rh 102.91 Rh.upf
CELL_PARAMETERS angstrom
5.063 0.000 0.000
0.000 5.063 0.000
0.000 0.000 5.148
ATOMIC_POSITIONS crystal
Tc 0.000 0.000 0.000
Sb 0.000 0.500 0.000
Sb 0.500 0.000 0.000
Te 0.000 0.000 0.500
Rh 0.500 0.500 0.500

---

So which one wins? Going from most stable to least: B, A.

---

A.
! Sb2TeRh2 PBE-GGA optimized geometry; values from VASP
! Crystal system ... tetragonal
! Space-group type ... I4/mmm, No. 139
! Size of the total moment ... 0.0 μB/f.u.
&SYSTEM
  ibrav = 0, nat = 5, ntyp = 3
/
ATOMIC_SPECIES
Sb 121.76 Sb.upf
Te 127.60 Te.upf
Rh 102.91 Rh.upf
CELL_PARAMETERS angstrom
-2.171 2.171 5.925
2.171 -2.171 5.925
2.171 2.171 -5.925
ATOMIC_POSITIONS crystal
Sb 0.124 0.124 0.000
Sb 0.876 0.876 0.000
Te 0.500 0.500 0.000
Rh 0.250 0.750 0.500
Rh 0.750 0.250 0.500

---

B.
! Sb2TeRh2 PBE-GGA optimized geometry; values from VASP
! Crystal system ... tetragonal
! Space-group type ... P4/mbm, No. 127
! Size of the total moment ... 0.0 μB/f.u.
&SYSTEM
  ibrav = 0, nat = 10, ntyp = 3
/
ATOMIC_SPECIES
Sb 121.76 Sb.upf
Te 127.60 Te.upf
Rh 102.91 Rh.upf
CELL_PARAMETERS angstrom
7.832 0.000 0.000
0.000 7.832 0.000
0.000 0.000 3.339
ATOMIC_POSITIONS crystal
Sb 0.148 0.352 0.000
Sb 0.352 0.852 0.000
Sb 0.648 0.148 0.000
Sb 0.852 0.648 0.000
Te 0.000 0.000 0.500
Te 0.500 0.500 0.500
Rh 0.133 0.633 0.500
Rh 0.367 0.133 0.500
Rh 0.633 0.867 0.500
Rh 0.867 0.367 0.500

---

So which one wins? Going from most stable to least: B, A.

---

A.
! SbTeRh3 PBE-GGA optimized geometry; values from VASP
! Crystal system ... cubic
! Space-group type ... Pm-3m, No. 221
! Size of the total moment ... 0.0 μB/f.u.
&SYSTEM
  ibrav = 0, nat = 5, ntyp = 3
/
ATOMIC_SPECIES
Sb 121.76 Sb.upf
Te 127.60 Te.upf
Rh 102.91 Rh.upf
CELL_PARAMETERS angstrom
4.846 0.000 0.000
0.000 4.846 0.000
0.000 0.000 4.846
ATOMIC_POSITIONS crystal
Sb 0.000 0.000 0.000
Te 0.500 0.500 0.500
Rh 0.000 0.000 0.500
Rh 0.000 0.500 0.000
Rh 0.500 0.000 0.000

---

B.
! SbTeRh3 PBE-GGA optimized geometry; values from VASP
! Crystal system ... orthorhombic
! Space-group type ... Pmc2_1, No. 26
! Size of the total moment ... 0.0 μB/f.u.
&SYSTEM
  ibrav = 0, nat = 10, ntyp = 3
/
ATOMIC_SPECIES
Sb 121.76 Sb.upf
Te 127.60 Te.upf
Rh 102.91 Rh.upf
CELL_PARAMETERS angstrom
4.166 0.000 0.000
0.000 7.632 0.000
0.000 0.000 6.217
ATOMIC_POSITIONS crystal
Sb 0.000 0.151 0.000
Sb 0.000 0.849 0.500
Te 0.500 0.369 0.452
Te 0.500 0.631 0.952
Rh 0.000 0.182 0.562
Rh 0.000 0.818 0.062
Rh 0.500 0.065 0.253
Rh 0.500 0.302 0.854
Rh 0.500 0.698 0.354
Rh 0.500 0.935 0.753

---

So which one wins? Going from most stable to least: B, A.

---

A.
! SbTe4Rh PBE-GGA optimized geometry; values from VASP
! Crystal system ... monoclinic
! Space-group type ... P2/m, No. 10
! Size of the total moment ... 0.0 μB/f.u.
&SYSTEM
  ibrav = 0, nat = 6, ntyp = 3
/
ATOMIC_SPECIES
Sb 121.76 Sb.upf
Te 127.60 Te.upf
Rh 102.91 Rh.upf
CELL_PARAMETERS angstrom
5.521 0.000 0.000
0.000 4.131 0.000
-0.225 0.000 7.382
ATOMIC_POSITIONS crystal
Sb 0.000 0.000 0.000
Te 0.260 0.000 0.368
Te 0.288 0.500 0.800
Te 0.712 0.500 0.200
Te 0.740 0.000 0.632
Rh 0.000 0.500 0.500

---

B.
! SbTe4Rh PBE-GGA optimized geometry; values from VASP
! Crystal system ... cubic
! Space-group type ... F-43m, No. 216
! Size of the total moment ... 1.3 μB/f.u.
&SYSTEM
  ibrav = 0, nat = 6, ntyp = 3
/
ATOMIC_SPECIES
Sb 121.76 Sb.upf
Te 127.60 Te.upf
Rh 102.91 Rh.upf
CELL_PARAMETERS angstrom
0.000 4.393 4.393
4.393 0.000 4.393
4.393 4.393 0.000
ATOMIC_POSITIONS crystal
Sb 0.000 0.000 0.000
Te 0.127 0.624 0.624
Te 0.624 0.127 0.624
Te 0.624 0.624 0.127
Te 0.624 0.624 0.624
Rh 0.250 0.250 0.250

---

So which one wins? Going from most stable to least: A, B.